Record 1
## CeCrOs (PBE)

Data for a relaxed structure of CeCrOs.

Energy of formation   0.10 eV/atom

```
data_CeCrOs
_chemical_formula_sum 'Ce2 Cr2 Os2'
_cell_length_a 5.031
_cell_length_b 4.592
_cell_length_c 5.054
_cell_angle_alpha 90.00
_cell_angle_beta 109.70
_cell_angle_gamma 90.00
_symmetry_space_group_name_H-M 'P 1 21/m 1'
_symmetry_Int_Tables_number 11
loop_
_symmetry_equiv_pos_as_xyz
'x,y,z'
'-x,-y,-z'
'-x,y+1/2,-z'
'x,-y+1/2,z'
loop_
_atom_site_label
_atom_site_fract_x
_atom_site_fract_y
_atom_site_fract_z
Ce1 0.063 0.250 0.247
Cr1 0.424 0.750 0.567
Os1 0.480 0.250 0.879
```



Record 2
## Ce2CrOs3 (PBE)

Data for a relaxed structure of Ce2CrOs3.

Energy of formation   -0.18 eV/atom

```
data_Ce2CrOs3
_chemical_formula_sum 'Ce4 Cr2 Os6'
_cell_length_a 5.5694
_cell_length_b 5.5694
_cell_length_c 7.9703
_cell_angle_alpha 90.00
_cell_angle_beta 90.00
_cell_angle_gamma 120.00
_symmetry_space_group_name_H-M 'P 63/m m c'
_symmetry_Int_Tables_number 194
_symmetry_space_group_name_Hall '-P 6c 2c'
loop_
_atom_site_label
_atom_site_fract_x
_atom_site_fract_y
_atom_site_fract_z
Ce1 0.3333 0.6667 0.0676
Cr1 0.0000 0.0000 0.0000
Os1 0.1668 0.3335 0.7500
```



Record 3
## CeCrP2Os (PBE)

Data for a relaxed structure of CeCrP2Os.

Energy of formation   -0.78 eV/atom

```
data_CeCrP2Os
_chemical_formula_sum 'Ce2 Cr2 P4 Os2'
_cell_length_a 4.050
_cell_length_b 4.050
_cell_length_c 9.829
_cell_angle_alpha 90.00
_cell_angle_beta 90.00
_cell_angle_gamma 90.00
_symmetry_space_group_name_H-M 'I -4 m 2'
_symmetry_Int_Tables_number 119
_symmetry_space_group_name_Hall 'I -4 -2'
loop_
_atom_site_label
_atom_site_fract_x
_atom_site_fract_y
_atom_site_fract_z
Ce1 0.000 0.000 0.000
Cr1 0.000 0.500 0.250
P1 0.000 0.000 0.369
Os1 0.000 0.500 0.750
```